# PBE-GGA ScTcAu2, optimized geometry
data_ScTcAu2
_cell_length_a 3.900
_cell_length_b 3.900
_cell_length_c 19.818
_cell_angle_alpha 90.00
_cell_angle_beta 90.00
_cell_angle_gamma 90.00
_symmetry_space_group_name_H-M 'I -4 2 d'
_symmetry_Int_Tables_number 122
_symmetry_space_group_name_Hall 'I -4 2bw'
loop_
_atom_site_label
_atom_site_type_symbol
_atom_site_fract_x
_atom_site_fract_y
_atom_site_fract_z
Sc1 Sc 0.000 0.000 0.000
Tc1 Tc 0.000 0.000 0.500
Au1 Au 0.245 0.250 0.625
# E_form = 0.20 eV/atom
# Offset from the most stable computed form = 433.5 meV per atom
# Calculated volume = 18.84 Å³/atom
# DFT total energy = -0.4128 Ry per atom